Density functional theory data (PBE-GGA) for a geometry-optimized CaTaP2S structure.

Calculated values
Its density of states at the Fermi level is 0.621 states/eV per atom. The relative energy among the computed polymorphs is 0 meV per atom. The total magnetization is 0.000 μB/f.u. The raw formation energy comes out at -2.87 eV/f.u.

```
data_CaTaP2S
_cell_length_a 4.841
_cell_length_b 4.841
_cell_length_c 4.840
_cell_angle_alpha 90.00
_cell_angle_beta 90.00
_cell_angle_gamma 90.00
_space_group_name_H-M_alt 'P 4/m m m'
_space_group_IT_number 123
_space_group_name_Hall '-P 4 2'
loop_
_atom_site_label
_atom_site_type_symbol
_atom_site_fract_x
_atom_site_fract_y
_atom_site_fract_z
Ca1 Ca 0.000 0.000 0.000
Ta1 Ta 0.500 0.500 0.500
P1 P 0.000 0.500 0.500
S1 S 0.500 0.500 0.000
```

=====

Density functional theory data (PBE-GGA) for a geometry-optimized CaTeP2S structure.

Calculated values
Its density of states at the Fermi level is 1.486 states/eV per atom. The relative energy among the computed polymorphs is 616 meV per atom. The total magnetization is 0.240 μB/f.u. The raw formation energy comes out at 4.29 eV/f.u.

```
data_CaTeP2S
_cell_length_a 5.327
_cell_length_b 5.327
_cell_length_c 4.977
_cell_angle_alpha 90.00
_cell_angle_beta 90.00
_cell_angle_gamma 90.00
_space_group_name_H-M_alt 'P 4/m m m'
_space_group_IT_number 123
_space_group_name_Hall '-P 4 2'
loop_
_atom_site_label
_atom_site_type_symbol
_atom_site_fract_x
_atom_site_fract_y
_atom_site_fract_z
Ca1 Ca 0.000 0.000 0.000
Te1 Te 0.500 0.500 0.500
P1 P 0.000 0.500 0.000
S1 S 0.000 0.000 0.500
```

=====

Density functional theory data (PBE-GGA) for a geometry-optimized CaTeP2S structure.

Calculated values
Its density of states at the Fermi level is 0.760 states/eV per atom. The relative energy among the computed polymorphs is 0 meV per atom. The total magnetization is 0.000 μB/f.u. The raw formation energy comes out at 1.21 eV/f.u.

```
data_CaTeP2S
_cell_length_a 5.029
_cell_length_b 5.029
_cell_length_c 5.166
_cell_angle_alpha 90.00
_cell_angle_beta 90.00
_cell_angle_gamma 90.00
_space_group_name_H-M_alt 'P 4/m m m'
_space_group_IT_number 123
_space_group_name_Hall '-P 4 2'
loop_
_atom_site_label
_atom_site_type_symbol
_atom_site_fract_x
_atom_site_fract_y
_atom_site_fract_z
Ca1 Ca 0.000 0.000 0.000
Te1 Te 0.500 0.500 0.500
P1 P 0.000 0.500 0.500
S1 S 0.500 0.500 0.000
```

=====

Density functional theory data (PBE-GGA) for a geometry-optimized CaTiP2S structure.

Calculated values
Its density of states at the Fermi level is 1.714 states/eV per atom. The relative energy among the computed polymorphs is 1566 meV per atom. The total magnetization is 0.019 μB/f.u. The raw formation energy comes out at 4.47 eV/f.u.

```
data_CaTiP2S
_cell_length_a 5.018
_cell_length_b 5.018
_cell_length_c 4.969
_cell_angle_alpha 90.00
_cell_angle_beta 90.00
_cell_angle_gamma 90.00
_space_group_name_H-M_alt 'P 4/m m m'
_space_group_IT_number 123
_space_group_name_Hall '-P 4 2'
loop_
_atom_site_label
_atom_site_type_symbol
_atom_site_fract_x
_atom_site_fract_y
_atom_site_fract_z
Ca1 Ca 0.000 0.000 0.000
Ti1 Ti 0.500 0.500 0.500
P1 P 0.000 0.500 0.000
S1 S 0.000 0.000 0.500
```

=====

Density functional theory data (PBE-GGA) for a geometry-optimized CaTiP2S structure.

Calculated values
Its density of states at the Fermi level is 0.823 states/eV per atom. The relative energy among the computed polymorphs is 0 meV per atom. The total magnetization is 0.000 μB/f.u. The raw formation energy comes out at -3.36 eV/f.u.

```
data_CaTiP2S
_cell_length_a 4.740
_cell_length_b 4.740
_cell_length_c 4.759
_cell_angle_alpha 90.00
_cell_angle_beta 90.00
_cell_angle_gamma 90.00
_space_group_name_H-M_alt 'P 4/m m m'
_space_group_IT_number 123
_space_group_name_Hall '-P 4 2'
loop_
_atom_site_label
_atom_site_type_symbol
_atom_site_fract_x
_atom_site_fract_y
_atom_site_fract_z
Ca1 Ca 0.000 0.000 0.000
Ti1 Ti 0.500 0.500 0.500
P1 P 0.000 0.500 0.500
S1 S 0.500 0.500 0.000
```

=====

Density functional theory data (PBE-GGA) for a geometry-optimized CaTiP2S8 structure.

Calculated values
The total magnetization is 0.000 μB/f.u. The raw formation energy comes out at -7.98 eV/f.u.

```
data_CaTiP2S8
_cell_length_a 5.9241
_cell_length_b 5.9241
_cell_length_c 8.4169
_cell_angle_alpha 90.00
_cell_angle_beta 90.00
_cell_angle_gamma 120.00
_space_group_name_H-M_alt 'P -3'
_space_group_IT_number 147
_space_group_name_Hall '-P 3'
loop_
_atom_site_label
_atom_site_type_symbol
_atom_site_fract_x
_atom_site_fract_y
_atom_site_fract_z
Ca1 Ca 0.0000 0.0000 0.0000
Ti1 Ti 0.0000 0.0000 0.5000
P1 P 0.3333 0.6667 0.7443
S1 S 0.0009 0.6760 0.3233
S2 S 0.3333 0.6667 0.9818
```

=====

Density functional theory data (PBE-GGA) for a geometry-optimized CaTlP2S structure.

Calculated values
Its density of states at the Fermi level is 1.236 states/eV per atom. The relative energy among the computed polymorphs is 0 meV per atom. The total magnetization is 0.000 μB/f.u. The raw formation energy comes out at 2.18 eV/f.u.

```
data_CaTlP2S
_cell_length_a 5.079
_cell_length_b 5.079
_cell_length_c 5.263
_cell_angle_alpha 90.00
_cell_angle_beta 90.00
_cell_angle_gamma 90.00
_space_group_name_H-M_alt 'P 4/m m m'
_space_group_IT_number 123
_space_group_name_Hall '-P 4 2'
loop_
_atom_site_label
_atom_site_type_symbol
_atom_site_fract_x
_atom_site_fract_y
_atom_site_fract_z
Ca1 Ca 0.000 0.000 0.000
Tl1 Tl 0.500 0.500 0.500
P1 P 0.000 0.500 0.500
S1 S 0.500 0.500 0.000
```

=====

Density functional theory data (PBE-GGA) for a geometry-optimized CaTlP2S structure.

Calculated values
Its density of states at the Fermi level is 0.956 states/eV per atom. The relative energy among the computed polymorphs is 68 meV per atom. The total magnetization is 1.409 μB/f.u. The raw formation energy comes out at 2.52 eV/f.u.

```
data_CaTlP2S
_cell_length_a 5.368
_cell_length_b 5.368
_cell_length_c 5.258
_cell_angle_alpha 90.00
_cell_angle_beta 90.00
_cell_angle_gamma 90.00
_space_group_name_H-M_alt 'P 4/m m m'
_space_group_IT_number 123
_space_group_name_Hall '-P 4 2'
loop_
_atom_site_label
_atom_site_type_symbol
_atom_site_fract_x
_atom_site_fract_y
_atom_site_fract_z
Ca1 Ca 0.000 0.000 0.000
Tl1 Tl 0.500 0.500 0.500
P1 P 0.000 0.500 0.000
S1 S 0.000 0.000 0.500
```

=====

Density functional theory data (PBE-GGA) for a geometry-optimized CaTmP2S8 structure.

Calculated values
Its density of states at the Fermi level is 1.028 states/eV per atom. The total magnetization is 0.080 μB/f.u. The raw formation energy comes out at -8.82 eV/f.u.

```
data_CaTmP2S8
_cell_length_a 5.9689
_cell_length_b 5.9689
_cell_length_c 8.9802
_cell_angle_alpha 90.00
_cell_angle_beta 90.00
_cell_angle_gamma 120.00
_space_group_name_H-M_alt 'P -3'
_space_group_IT_number 147
_space_group_name_Hall '-P 3'
loop_
_atom_site_label
_atom_site_type_symbol
_atom_site_fract_x
_atom_site_fract_y
_atom_site_fract_z
Ca1 Ca 0.0000 0.0000 0.0000
Tm1 Tm 0.0000 0.0000 0.5000
P1 P 0.3333 0.6667 0.7619
S1 S 0.0001 0.3361 0.7008
S2 S 0.3333 0.6667 0.9888
```

=====

Density functional theory data (PBE-GGA) for a geometry-optimized CaUP2S8 structure.

Calculated values
Its density of states at the Fermi level is 0.798 states/eV per atom. The total magnetization is 2.000 μB/f.u. The raw formation energy comes out at -8.06 eV/f.u.

```
data_CaUP2S8
_cell_length_a 6.0284
_cell_length_b 6.0284
_cell_length_c 8.9871
_cell_angle_alpha 90.00
_cell_angle_beta 90.00
_cell_angle_gamma 120.00
_space_group_name_H-M_alt 'P -3'
_space_group_IT_number 147
_space_group_name_Hall '-P 3'
loop_
_atom_site_label
_atom_site_type_symbol
_atom_site_fract_x
_atom_site_fract_y
_atom_site_fract_z
Ca1 Ca 0.0000 0.0000 0.0000
U1 U 0.0000 0.0000 0.5000
P1 P 0.3333 0.6667 0.7672
S1 S 0.0023 0.3412 0.6960
S2 S 0.3333 0.6667 0.9889
```

=====

Which formula does entry 7 have? CaTlP2S

=====

Among the records above, which one has the highest raw formation energy? number 4